No. 1
Density functional theory data (PBE-GGA) for a relaxed KAg2Ru crystal.

Unit cell a=6.4809 b=6.4809 c=6.4809 alpha=155.59 beta=128.76 gamma=57.55
Closest atoms and distances in Å follow each position.
Fractional coordinates of all 4 atoms:
K: 0.0000 0.0000 0.0000  2 K 2.74
Ag: 0.2873 0.7873 0.5000  2 Ag 2.74, 2 Ru 2.78
Ag: 0.7127 0.2127 0.5000  2 Ag 2.74, 2 Ru 2.78
Ru: 0.5000 0.5000 0.0000  2 Ru 2.74, 4 Ag 2.78

Offset from the most stable computed form: 0.181 eV/atom
ΔE_f: 753.0 meV per atom
Total energy: -13.06 eV/f.u.

=====

No. 2
Density functional theory data (PBE-GGA) for a relaxed KTaAgRu2 crystal.

Unit cell a=4.9279 b=4.9279 c=4.7668 alpha=90.00 beta=90.00 gamma=90.00
Closest atoms and distances in Å follow each position.
Fractional coordinates of all 5 atoms:
K: 0.0000 0.0000 0.0000  2 Ag 2.38
Ta: 0.5000 0.5000 0.0000  8 Ru 3.43, 4 K 3.48
Ag: 0.0000 0.0000 0.5000  2 K 2.38, 4 Ru 2.46
Ru: 0.0000 0.5000 0.5000  2 Ag 2.46
Ru: 0.5000 0.0000 0.5000  2 Ag 2.46

ΔE_f: 2394.2 meV per atom
Total energy: -22.38 eV/f.u.

=====

No. 3
Density functional theory data (PBE-GGA) for a relaxed K3AgS crystal.

Unit cell a=6.0463 b=6.0463 c=6.0463 alpha=90.00 beta=90.00 gamma=90.00
Closest atoms and distances in Å follow each position.
Fractional coordinates of all 5 atoms:
K: 0.0000 0.0000 0.5000  2 S 3.02
K: 0.0000 0.5000 0.0000  2 S 3.02
K: 0.5000 0.0000 0.0000  2 S 3.02
Ag: 0.5000 0.5000 0.5000  12 K 4.28
S: 0.0000 0.0000 0.0000  6 K 3.02

Offset from the most stable computed form: 0.000 eV/atom
Raw formation energy: -527 meV/atom
Total energy: -12.91 eV/f.u.

=====

Number 1: calculated density 6.77 Mg/m³, DOS at the Fermi energy 0.9532 states/eV/atom. Number 2: calculated density 7.60 Mg/m³, DOS at the Fermi energy 1.4949 states/eV/atom. Number 3: calculated density 1.93 Mg/m³, DOS at the Fermi energy 0.0000 states/eV/atom.